! Ho2FeAs2O (PBE+U, relaxed); values from VASP
&SYSTEM
  ibrav = 0, nat = 6, ntyp = 4
/
ATOMIC_SPECIES
As 74.92 As.upf
O 16.00 O.upf
Fe 55.84 Fe.upf
Ho 164.93 Ho.upf
ATOMIC_POSITIONS crystal
As 0.500 0.500 0.833
As 0.500 0.500 0.167
O 0.500 0.500 0.500
Fe 0.500 0.500 0.000
Ho 0.500 0.500 0.365
Ho 0.500 0.500 0.635
CELL_PARAMETERS angstrom
3.231 0.000 0.000
0.000 3.231 0.000
0.000 0.000 14.791
! DFT total energy	-5.079	eV per atom
! total magnetic moment	3.33	μB per formula unit